#1
## TaMoIr2 (PBE-GGA)

Data for crystalline TaMoIr2 at its relaxed geometry.

Properties
size of the total moment = 0.00 μB/f.u.

Unit cell a=3.9409 b=3.9409 c=8.0560 alpha=90.00 beta=90.00 gamma=90.00
Space group I-4m2 (No. 119)
Unique sites:
Ta 0.0000 0.0000 0.0000 [2 per cell]
Mo 0.0000 0.5000 0.7500 [2 per cell]
Ir 0.0000 0.0000 0.5000 [2 per cell]
Ir 0.0000 0.5000 0.2500 [2 per cell]

#2
## TaMoIr2 (PBE-GGA)

Data for crystalline TaMoIr2 at its relaxed geometry.

Properties
size of the total moment = 0.00 μB/f.u.

Unit cell a=5.6161 b=7.8446 c=2.8239 alpha=90.00 beta=90.13 gamma=90.00
Space group C2/m (No. 12)
Unique sites:
Ta 0.0000 0.0000 0.0000 [2 per cell]
Mo 0.0000 0.5000 0.0000 [2 per cell]
Ir 0.2500 0.2500 0.5000 [4 per cell]

#3
## TaMoIr2 (PBE-GGA)

Data for crystalline TaMoIr2 at its relaxed geometry.

Properties
size of the total moment = 0.00 μB/f.u.

Unit cell a=6.3581 b=6.3581 c=6.3581 alpha=90.00 beta=90.00 gamma=90.00
Space group Fm-3m (No. 225)
Unique sites:
Ta 0.0000 0.0000 0.0000 [4 per cell]
Mo 0.0000 0.0000 0.5000 [4 per cell]
Ir 0.2500 0.2500 0.2500 [8 per cell]

Most favorable first, least favorable last: #2, #1, #3

#1
## TaMoIr2 (PBE-GGA)

Data for crystalline TaMoIr2 at its relaxed geometry.

Properties
size of the total moment = 0.00 μB/f.u.

Unit cell a=2.8274 b=3.9041 c=5.6374 alpha=90.00 beta=90.00 gamma=90.00
Space group Pmmm (No. 47)
Unique sites:
Ta 0.0000 0.0000 0.0000 [1 per cell]
Mo 0.0000 0.0000 0.5000 [1 per cell]
Ir 0.5000 0.5000 0.2556 [2 per cell]

#2
## TaMoIr2 (PBE-GGA)

Data for crystalline TaMoIr2 at its relaxed geometry.

Properties
size of the total moment = 0.00 μB/f.u.

Unit cell a=9.3590 b=2.8041 c=4.8341 alpha=90.00 beta=99.86 gamma=90.00
Space group C2/m (No. 12)
Unique sites:
Ta 0.0000 0.0000 0.0000 [2 per cell]
Mo 0.0000 0.5000 0.5000 [2 per cell]
Ir 0.2494 0.0000 0.7429 [4 per cell]

#3
## TaMoIr2 (PBE-GGA)

Data for crystalline TaMoIr2 at its relaxed geometry.

Properties
size of the total moment = 0.00 μB/f.u.

Unit cell a=2.8108 b=2.8108 c=27.4212 alpha=90.00 beta=90.00 gamma=120.00
Space group R-3m (No. 166, hexagonal axes)
Unique sites:
Ta 0.0000 0.0000 0.0000 [3 per cell]
Mo 0.0000 0.0000 0.5000 [3 per cell]
Ir 0.0000 0.0000 0.2480 [6 per cell]

#4
## TaMoIr2 (PBE-GGA)

Data for crystalline TaMoIr2 at its relaxed geometry.

Properties
size of the total moment = 0.00 μB/f.u.

Unit cell a=2.8258 b=4.5297 c=4.8724 alpha=90.00 beta=90.00 gamma=90.00
Space group Pmm2 (No. 25)
Unique sites:
Ta 0.0000 0.0000 0.0000 [1 per cell]
Mo 0.0000 0.5000 0.3631 [1 per cell]
Ir 0.5000 0.0000 0.4984 [1 per cell]
Ir 0.5000 0.5000 0.8607 [1 per cell]

Most favorable first, least favorable last: #1, #4, #2, #3

#1
## TaMo3Ir (PBE-GGA)

Data for crystalline TaMo3Ir at its relaxed geometry.

Properties
size of the total moment = 0.00 μB/f.u.

Unit cell a=4.6921 b=4.6921 c=4.6921 alpha=90.00 beta=90.00 gamma=90.00
Space group Pm-3m (No. 221)
Unique sites:
Ta 0.0000 0.0000 0.0000 [1 per cell]
Mo 0.0000 0.5000 0.5000 [3 per cell]
Ir 0.5000 0.5000 0.5000 [1 per cell]

#2
## TaMo3Ir (PBE-GGA)

Data for crystalline TaMo3Ir at its relaxed geometry.

Properties
size of the total moment = 0.00 μB/f.u.

Unit cell a=4.6603 b=4.6603 c=4.6603 alpha=90.00 beta=90.00 gamma=90.00
Space group Pm-3m (No. 221)
Unique sites:
Ta 0.0000 0.0000 0.0000 [1 per cell]
Mo 0.0000 0.0000 0.5000 [3 per cell]
Ir 0.5000 0.5000 0.5000 [1 per cell]

Most favorable first, least favorable last: #1, #2

#1
## TaMoIr (PBE-GGA)

Data for crystalline TaMoIr at its relaxed geometry.

Properties
size of the total moment = 0.00 μB/f.u.

Unit cell a=2.7929 b=2.7929 c=12.4320 alpha=90.00 beta=90.00 gamma=90.00
Space group I4mm (No. 107)
Unique sites:
Ta 0.0000 0.0000 0.0000 [2 per cell]
Mo 0.0000 0.0000 0.6836 [2 per cell]
Ir 0.0000 0.0000 0.3358 [2 per cell]

#2
## TaMoIr (PBE-GGA)

Data for crystalline TaMoIr at its relaxed geometry.

Properties
size of the total moment = 0.00 μB/f.u.

Unit cell a=6.1154 b=6.1154 c=6.1154 alpha=90.00 beta=90.00 gamma=90.00
Space group F-43m (No. 216)
Unique sites:
Ta 0.0000 0.0000 0.0000 [4 per cell]
Mo 0.0000 0.0000 0.5000 [4 per cell]
Ir 0.2500 0.2500 0.7500 [4 per cell]

Most favorable first, least favorable last: #1, #2

#1
## TaMoIr (PBE-GGA)

Data for crystalline TaMoIr at its relaxed geometry.

Properties
size of the total moment = 0.00 μB/f.u.

Unit cell a=4.4857 b=4.4857 c=2.7827 alpha=90.00 beta=90.00 gamma=120.00
Space group P3m1 (No. 156)
Unique sites:
Ta 0.0000 0.0000 0.0000 [1 per cell]
Mo 0.3333 0.6667 0.7195 [1 per cell]
Ir 0.6667 0.3333 0.3253 [1 per cell]

#2
## TaMoIr (PBE-GGA)

Data for crystalline TaMoIr at its relaxed geometry.

Properties
size of the total moment = 0.00 μB/f.u.

Unit cell a=3.2618 b=3.2618 c=9.2211 alpha=90.00 beta=90.00 gamma=90.00
Space group I4mm (No. 107)
Unique sites:
Ta 0.0000 0.0000 0.0000 [2 per cell]
Mo 0.0000 0.0000 0.3364 [2 per cell]
Ir 0.0000 0.0000 0.6630 [2 per cell]

Most favorable first, least favorable last: #2, #1

#1
## TcMoIr2 (PBE-GGA)

Data for crystalline TcMoIr2 at its relaxed geometry.

Properties
size of the total moment = 0.00 μB/f.u.

Unit cell a=3.9110 b=3.9110 c=7.7316 alpha=90.00 beta=90.00 gamma=90.00
Space group I-4m2 (No. 119)
Unique sites:
Tc 0.0000 0.0000 0.0000 [2 per cell]
Mo 0.0000 0.5000 0.7500 [2 per cell]
Ir 0.0000 0.0000 0.5000 [2 per cell]
Ir 0.0000 0.5000 0.2500 [2 per cell]

#2
## TcMoIr2 (PBE-GGA)

Data for crystalline TcMoIr2 at its relaxed geometry.

Properties
size of the total moment = 0.00 μB/f.u.

Unit cell a=2.7470 b=3.9097 c=5.4963 alpha=90.00 beta=90.00 gamma=90.00
Space group Pmmm (No. 47)
Unique sites:
Tc 0.0000 0.0000 0.0000 [1 per cell]
Mo 0.0000 0.0000 0.5000 [1 per cell]
Ir 0.5000 0.5000 0.2461 [2 per cell]

#3
## TcMoIr2 (PBE-GGA)

Data for crystalline TcMoIr2 at its relaxed geometry.

Properties
size of the total moment = 0.00 μB/f.u.

Unit cell a=9.1216 b=2.7453 c=4.8086 alpha=90.00 beta=99.90 gamma=90.00
Space group Cm (No. 8)
Unique sites:
Tc 0.0000 0.0000 0.0000 [2 per cell]
Mo 0.2457 0.0000 0.7226 [2 per cell]
Ir 0.2451 0.5000 0.2180 [2 per cell]
Ir 0.4984 0.0000 0.4922 [2 per cell]

#4
## TcMoIr2 (PBE-GGA)

Data for crystalline TcMoIr2 at its relaxed geometry.

Properties
size of the total moment = 0.00 μB/f.u.

Unit cell a=2.7622 b=2.7622 c=26.9127 alpha=90.00 beta=90.00 gamma=120.00
Space group R-3m (No. 166, hexagonal axes)
Unique sites:
Tc 0.0000 0.0000 0.0000 [3 per cell]
Mo 0.0000 0.0000 0.5000 [3 per cell]
Ir 0.0000 0.0000 0.2509 [6 per cell]

Most favorable first, least favorable last: #2, #1, #3, #4

#1
## TcMoIr2 (PBE-GGA)

Data for crystalline TcMoIr2 at its relaxed geometry.

Properties
size of the total moment = 0.00 μB/f.u.

Unit cell a=5.4760 b=7.8519 c=2.7431 alpha=90.00 beta=90.00 gamma=90.00
Space group Cmmm (No. 65)
Unique sites:
Tc 0.0000 0.0000 0.0000 [2 per cell]
Mo 0.0000 0.5000 0.0000 [2 per cell]
Ir 0.2500 0.2500 0.5000 [4 per cell]

#2
## TcMoIr2 (PBE-GGA)

Data for crystalline TcMoIr2 at its relaxed geometry.

Properties
size of the total moment = 0.00 μB/f.u.

Unit cell a=9.5733 b=5.4880 c=4.7827 alpha=90.00 beta=109.96 gamma=90.00
Space group C2/m (No. 12)
Unique sites:
Tc 0.1269 0.0000 0.2539 [4 per cell]
Mo 0.1316 0.5000 0.2643 [4 per cell]
Ir 0.1244 0.2486 0.7517 [8 per cell]

#3
## TcMoIr2 (PBE-GGA)

Data for crystalline TcMoIr2 at its relaxed geometry.

Properties
size of the total moment = 0.00 μB/f.u.

Unit cell a=9.2310 b=2.7483 c=4.7342 alpha=90.00 beta=100.02 gamma=90.00
Space group C2/m (No. 12)
Unique sites:
Tc 0.0000 0.0000 0.0000 [2 per cell]
Mo 0.0000 0.5000 0.5000 [2 per cell]
Ir 0.2491 0.5000 0.2480 [4 per cell]

Most favorable first, least favorable last: #2, #1, #3

#1
## TcMoIr2 (PBE-GGA)

Data for crystalline TcMoIr2 at its relaxed geometry.

Properties
size of the total moment = 0.00 μB/f.u.

Unit cell a=3.2991 b=3.2991 c=5.5808 alpha=90.00 beta=90.00 gamma=90.00
Space group P4mm (No. 99)
Unique sites:
Tc 0.0000 0.0000 0.0000 [1 per cell]
Mo 0.5000 0.5000 0.7284 [1 per cell]
Ir 0.0000 0.0000 0.4855 [1 per cell]
Ir 0.5000 0.5000 0.2403 [1 per cell]

#2
## TcMoIr2 (PBE-GGA)

Data for crystalline TcMoIr2 at its relaxed geometry.

Properties
size of the total moment = 0.00 μB/f.u.

Unit cell a=6.2485 b=6.2485 c=6.2485 alpha=90.00 beta=90.00 gamma=90.00
Space group Fm-3m (No. 225)
Unique sites:
Tc 0.0000 0.0000 0.0000 [4 per cell]
Mo 0.0000 0.0000 0.5000 [4 per cell]
Ir 0.2500 0.2500 0.2500 [8 per cell]

Most favorable first, least favorable last: #1, #2

#1
## TcMoIr2 (PBE-GGA)

Data for crystalline TcMoIr2 at its relaxed geometry.

Properties
size of the total moment = 0.00 μB/f.u.

Unit cell a=2.7538 b=4.4157 c=4.8335 alpha=90.00 beta=90.00 gamma=90.00
Space group Pmm2 (No. 25)
Unique sites:
Tc 0.0000 0.0000 0.0000 [1 per cell]
Mo 0.0000 0.5000 0.3334 [1 per cell]
Ir 0.5000 0.0000 0.5015 [1 per cell]
Ir 0.5000 0.5000 0.8430 [1 per cell]

#2
## TcMoIr2 (PBE-GGA)

Data for crystalline TcMoIr2 at its relaxed geometry.

Properties
size of the total moment = 0.00 μB/f.u.

Unit cell a=2.7460 b=2.7460 c=7.9301 alpha=90.00 beta=90.00 gamma=90.00
Space group P4mm (No. 99)
Unique sites:
Tc 0.0000 0.0000 0.0000 [1 per cell]
Mo 0.5000 0.5000 0.7274 [1 per cell]
Ir 0.0000 0.0000 0.4917 [1 per cell]
Ir 0.5000 0.5000 0.2284 [1 per cell]

Most favorable first, least favorable last: #1, #2

#1
## TcMoIr2 (PBE-GGA)

Data for crystalline TcMoIr2 at its relaxed geometry.

Properties
size of the total moment = 0.00 μB/f.u.

Unit cell a=3.8703 b=3.8703 c=7.8733 alpha=90.00 beta=90.00 gamma=90.00
Space group I4/mmm (No. 139)
Unique sites:
Tc 0.0000 0.0000 0.0000 [2 per cell]
Mo 0.0000 0.0000 0.5000 [2 per cell]
Ir 0.0000 0.5000 0.2500 [4 per cell]

#2
## TcMoIr2 (PBE-GGA)

Data for crystalline TcMoIr2 at its relaxed geometry.

Properties
size of the total moment = 0.00 μB/f.u.

Unit cell a=3.3350 b=3.3350 c=5.4738 alpha=90.00 beta=90.00 gamma=90.00
Space group P4/mmm (No. 123)
Unique sites:
Tc 0.0000 0.0000 0.0000 [1 per cell]
Mo 0.0000 0.0000 0.5000 [1 per cell]
Ir 0.5000 0.5000 0.2474 [2 per cell]

#3
## TcMoIr2 (PBE-GGA)

Data for crystalline TcMoIr2 at its relaxed geometry.

Properties
size of the total moment = 0.00 μB/f.u.

Unit cell a=3.8698 b=3.8698 c=3.9339 alpha=90.00 beta=90.00 gamma=90.00
Space group P4/mmm (No. 123)
Unique sites:
Tc 0.0000 0.0000 0.0000 [1 per cell]
Mo 0.5000 0.5000 0.0000 [1 per cell]
Ir 0.0000 0.5000 0.5000 [2 per cell]

#4
## TcMoIr2 (PBE-GGA)

Data for crystalline TcMoIr2 at its relaxed geometry.

Properties
size of the total moment = 0.00 μB/f.u.

Unit cell a=2.7565 b=2.7565 c=27.2045 alpha=90.00 beta=90.00 gamma=120.00
Space group R3m (No. 160, hexagonal axes)
Unique sites:
Tc 0.0000 0.0000 0.0000 [3 per cell]
Mo 0.0000 0.0000 0.7544 [3 per cell]
Ir 0.0000 0.0000 0.2544 [3 per cell]
Ir 0.0000 0.0000 0.5014 [3 per cell]

Most favorable first, least favorable last: #3, #1, #4, #2